i | GaTeN | PBE | optimized geometry

Cell: 5.5771 3.1721 18.1670 Å, 90.00 105.23 90.00°
Element x y z (fractional)
1 Te 0.8715 0.5000 0.6177
2 Te 0.8715 0.0000 0.1177
3 Te 0.4206 0.5000 0.6766
4 Te 0.4206 0.0000 0.1766
5 Ga 0.5696 0.5000 0.8914
6 Ga 0.0707 0.5000 0.3926
7 Ga 0.0707 0.0000 0.8926
8 Ga 0.5696 0.0000 0.3914
9 N 0.4018 0.0000 0.8928
10 N 0.9021 0.5000 0.8924
11 N 0.9021 0.0000 0.3924
12 N 0.4018 0.5000 0.3928

Results
Crystal system: monoclinic
D(E_F), states/eV/atom: 0.117

=====

ii | GaTeN | PBE | optimized geometry

Cell: 5.6082 3.1717 18.2212 Å, 90.00 107.02 90.00°
Element x y z (fractional)
1 Te 0.3816 0.5000 0.9080
2 Te 0.5517 0.0000 0.2799
3 Te 0.5517 0.5000 0.7799
4 Te 0.3816 0.0000 0.4080
5 N 0.5279 0.5000 0.6038
6 N 0.5279 0.0000 0.1038
7 N 0.0197 0.0000 0.5947
8 N 0.0197 0.5000 0.0947
9 Ga 0.6886 0.0000 0.5926
10 Ga 0.1930 0.0000 0.1025
11 Ga 0.6886 0.5000 0.0926
12 Ga 0.1930 0.5000 0.6025

Results
Crystal system: monoclinic
D(E_F), states/eV/atom: 0.479

=====

iii | GaTeN | PBE | optimized geometry

Cell: 5.0236 5.0236 9.4745 Å, 73.66 73.66 37.01°
Element x y z (fractional)
1 Te 0.0229 0.0229 0.0051
2 Te 0.7290 0.7290 0.3025
3 Ga 0.4925 0.4925 0.6866
4 Ga 0.2613 0.2613 0.6206
5 N 0.0576 0.0576 0.7763
6 N 0.6961 0.6961 0.5310

Results
Crystal system: monoclinic
D(E_F), states/eV/atom: 0.193

=====

Going by the energies, i is most stable and the next is 3.4 kJ/mol of atoms up.

=====

i | GaTeN | PBE | optimized geometry

Cell: 3.1720 5.5780 8.7414 Å, 88.07 88.54 89.99°
Element x y z (fractional)
1 Te 0.0255 0.8927 0.7431
2 Te 0.0338 0.3999 0.6250
3 Ga 0.0049 0.8361 0.1708
4 Ga 0.5042 0.3362 0.1755
5 N 0.5046 0.6672 0.1742
6 N 0.0042 0.1674 0.1745

Results
Crystal system: triclinic
D(E_F), states/eV/atom: 0.127

=====

ii | GaTeN | PBE | optimized geometry

Cell: 5.5699 3.1782 16.6314 Å, 90.00 101.87 90.00°
Element x y z (fractional)
1 Te 0.1247 0.5000 0.3915
2 Te 0.9331 0.5000 0.5501
3 Te 0.9331 0.0000 0.0501
4 Te 0.1247 0.0000 0.8915
5 Ga 0.3456 0.5000 0.7097
6 Ga 0.3456 0.0000 0.2097
7 Ga 0.8556 0.5000 0.2343
8 Ga 0.8556 0.0000 0.7343
9 N 0.5126 0.0000 0.7174
10 N 0.5126 0.5000 0.2174
11 N 0.9921 0.0000 0.1912
12 N 0.9921 0.5000 0.6912

Results
Crystal system: monoclinic
D(E_F), states/eV/atom: 0.436

=====

iii | GaTeN | PBE | optimized geometry

Cell: 7.8006 3.1635 5.6370 Å, 90.00 107.69 90.00°
Element x y z (fractional)
1 Te 0.5738 0.5000 0.8285
2 Te 0.5738 0.0000 0.3285
3 N 0.0900 0.5000 0.8966
4 N 0.0900 0.0000 0.3966
5 Ga 0.1001 0.5000 0.5715
6 Ga 0.1001 0.0000 0.0715

Results
Crystal system: monoclinic
D(E_F), states/eV/atom: 0.691

=====

iv | GaTeN | PBE | optimized geometry

Cell: 5.0099 4.9780 5.6740 Å, 90.00 94.16 90.00°
Element x y z (fractional)
1 Ga 0.2979 0.0254 0.0070
2 Ga 0.7021 0.5254 0.9930
3 Te 0.8435 0.9399 0.7144
4 Te 0.1565 0.4399 0.2856
5 N 0.4215 0.6982 0.1473
6 N 0.5785 0.1982 0.8527

Results
Crystal system: monoclinic

=====

Going by the energies, i is most stable and the next is 3.5 kJ/mol of atoms up.

=====

i | GaTe2N | PBE | optimized geometry

Cell: 4.7827 4.7827 4.7827 Å, 60.00 60.00 60.00°
Element x y z (fractional)
1 Ga 0.5000 0.5000 0.5000
2 Te 0.2500 0.2500 0.2500
3 Te 0.7500 0.7500 0.7500
4 N 0.0000 0.0000 0.0000

Results
Crystal system: cubic
D(E_F), states/eV/atom: 0.756

=====

ii | GaTe2N | PBE | optimized geometry

Cell: 7.3128 7.3128 7.3128 Å, 35.68 35.68 35.68°
Element x y z (fractional)
1 Te 0.9060 0.9060 0.9060
2 Te 0.0940 0.0940 0.0940
3 N 0.0000 0.0000 0.0000
4 Ga 0.5000 0.5000 0.5000

Results
Crystal system: trigonal
D(E_F), states/eV/atom: 0.473

=====

iii | GaTe2N | PBE | optimized geometry

Cell: 5.6980 5.6980 7.5253 Å, 67.75 67.75 90.00°
Element x y z (fractional)
1 N 0.5000 0.5000 0.0000
2 N 0.2500 0.7500 0.5000
3 Ga 0.7500 0.2500 0.5000
4 Ga 0.0000 0.0000 0.0000
5 Te 0.2177 0.6250 0.2500
6 Te 0.5323 0.1250 0.2500
7 Te 0.3750 0.4677 0.7500
8 Te 0.8750 0.7823 0.7500

Results
Crystal system: tetragonal
D(E_F), states/eV/atom: 0.225

=====

Going by the energies, iii is most stable and the next is 3.9 kJ/mol of atoms up.

=====

i | VGaTe2N | PBE | optimized geometry

Cell: 5.4986 5.4986 3.6231 Å, 90.00 90.00 90.00°
Each line ends with the local moment (μB).
Element x y z (fractional)
1 N 0.0000 0.0000 0.5000  -0.05
2 V 0.0000 0.0000 0.0000  0.45
3 Ga 0.5000 0.5000 0.5000  -0.01
4 Te 0.0000 0.5000 0.0000  -0.02
5 Te 0.5000 0.0000 0.0000  -0.02

Results
Crystal system: tetragonal
D(E_F), states/eV/atom: 0.800

=====

ii | VGaTe2N | PBE | optimized geometry

Cell: 5.6250 5.6250 3.5312 Å, 90.00 90.00 90.00°
Each line ends with the local moment (μB).
Element x y z (fractional)
1 N 0.0000 0.0000 0.5000  -0.27
2 Ga 0.0000 0.0000 0.0000  0.00
3 Te 0.0000 0.5000 0.0000  -0.17
4 Te 0.5000 0.0000 0.0000  -0.17
5 V 0.5000 0.5000 0.5000  2.79

Results
Crystal system: tetragonal
D(E_F), states/eV/atom: 1.302

=====

Going by the energies, i is most stable and the next is 71.0 kJ/mol of atoms up.

=====

i | VGaTeN2 | PBE | optimized geometry

Cell: 3.8476 3.8476 5.5946 Å, 90.00 90.00 90.00°
Each line ends with the local moment (μB).
Element x y z (fractional)
1 Ga 0.5000 0.5000 0.5000  -0.01
2 Te 0.0000 0.0000 0.5000  0.02
3 N 0.5000 0.0000 0.0000  0.20
4 N 0.0000 0.5000 0.0000  0.20
5 V 0.0000 0.0000 0.0000  -0.29

Results
Crystal system: tetragonal
D(E_F), states/eV/atom: 0.545

=====

ii | VGaTeN2 | PBE | optimized geometry

Cell: 3.8227 3.8227 5.8031 Å, 90.00 90.00 90.00°
Element x y z (fractional)
1 N 0.0000 0.5000 0.0000
2 N 0.5000 0.0000 0.0000
3 Ga 0.0000 0.0000 0.0000
4 Te 0.0000 0.0000 0.5000
5 V 0.5000 0.5000 0.5000

Results
Crystal system: tetragonal
D(E_F), states/eV/atom: 1.648

=====

Going by the energies, i is most stable and the next is 105.3 kJ/mol of atoms up.

=====

i | GaTeWN2 | PBE | optimized geometry

Cell: 3.9670 3.9670 5.5909 Å, 90.00 90.00 90.00°
Each line ends with the local moment (μB).
Element x y z (fractional)
1 N 0.5000 0.0000 0.0000  0.88
2 N 0.0000 0.5000 0.0000  0.88
3 Te 0.0000 0.0000 0.5000  0.10
4 W 0.5000 0.5000 0.5000  -2.50
5 Ga 0.0000 0.0000 0.0000  -0.04

Results
Crystal system: tetragonal
D(E_F), states/eV/atom: 0.315

=====

ii | GaTeWN2 | PBE | optimized geometry

Cell: 3.9699 3.9699 5.6893 Å, 90.00 90.00 90.00°
Element x y z (fractional)
1 Te 0.0000 0.0000 0.5000
2 N 0.0000 0.5000 0.0000
3 N 0.5000 0.0000 0.0000
4 W 0.0000 0.0000 0.0000
5 Ga 0.5000 0.5000 0.5000

Results
Crystal system: tetragonal
D(E_F), states/eV/atom: 0.528

=====

Going by the energies, ii is most stable and the next is 141.3 kJ/mol of atoms up.